GGA-PBE Cu3PbBr8, optimized geometry; space-group type = No. 8; uncorrected formation energy = -346 meV per atom; Fermi-level density of states = 9.92 states/eV/f.u.
1.0
9.1259 -2.1150 0.0000
9.1259 2.1150 0.0000
-2.2651 0.0000 11.0573
Cu Pb Br
3 1 8
direct
0.0000 0.0000 0.0000
0.0450 0.0450 0.3986
0.2072 0.2072 0.9894
0.3094 0.3094 0.4598
0.0858 0.0858 0.8670
0.1672 0.1672 0.5273
0.2745 0.2745 0.1927
0.4396 0.4396 0.9388
0.4965 0.4965 0.4619
0.7510 0.7510 0.9263
0.8636 0.8636 0.6275
0.9729 0.9729 0.1980